VASP calculation (PBE) on a geometry-optimized CrSbBr structure.

Magnetic moment in μB/atom: 0.88
Energy above the lowest structure with this stoichiometry in eV/f.u.: 0.770

Cell and atoms, written as CIF:
```
data_CrSbBr
_chemical_formula_sum 'Cr4 Sb4 Br4'
_cell_length_a 6.6487
_cell_length_b 6.6487
_cell_length_c 6.6487
_cell_angle_alpha 90.00
_cell_angle_beta 90.00
_cell_angle_gamma 90.00
_space_group_name_H-M_alt 'F -4 3 m'
_space_group_IT_number 216
_space_group_name_Hall 'F -4 2 3'
loop_
_atom_site_label
_atom_site_type_symbol
_atom_site_fract_x
_atom_site_fract_y
_atom_site_fract_z
Cr1 Cr 0.0000 0.0000 0.0000
Sb1 Sb 0.2500 0.2500 0.2500
Br1 Br 0.2500 0.2500 0.7500
```